# LaAl5, optimized geometry, DFT PBE-GGA
# Mass density = 3.7 g cm⁻³
# Total magnetic moment = 0.001 μB per cell
# E_form = -0.130 eV/atom
# N(E_F) = 5.9 states/eV/f.u.
data_LaAl5
_chemical_formula_sum 'La1 Al5'
_cell_length_a 5.5925
_cell_length_b 5.5925
_cell_length_c 5.5925
_cell_angle_alpha 60.00
_cell_angle_beta 60.00
_cell_angle_gamma 60.00
_symmetry_space_group_name_H-M 'P 1'
_symmetry_Int_Tables_number 1
_symmetry_space_group_name_Hall 'P 1'
loop_
_atom_site_label
_atom_site_fract_x
_atom_site_fract_y
_atom_site_fract_z
La1 0.0000 0.0000 0.0000
Al1 0.3759 0.3759 0.3759
Al2 0.3759 0.3759 0.8723
Al3 0.3759 0.8723 0.3759
Al4 0.7500 0.7500 0.7500
Al5 0.8723 0.3759 0.3759